No. 1
DFT (PBE-GGA) results for KZrSi4 after structural relaxation.

a = 5.2957 Å, b = 5.2957 Å, c = 5.2957 Å
α = 60.00°, β = 60.00°, γ = 60.00°
Closest atoms and distances in Å follow each position.
Element x y z (fractional)
1 K 0.0000 0.0000 0.0000  12 Si 3.11, 4 Zr 3.24
2 Zr 0.2500 0.2500 0.2500  12 Si 3.10, 4 K 3.24
3 Si 0.1299 0.6234 0.6234  6 Si 2.61-2.68
4 Si 0.6234 0.1299 0.6234  6 Si 2.61-2.68
5 Si 0.6234 0.6234 0.1299  6 Si 2.61-2.68
6 Si 0.6234 0.6234 0.6234  6 Si 2.61-2.68

Fermi-level density of states = 4.70 states/eV per cell
Uncorrected energy = -5.0127 eV/atom

***

No. 2
DFT (PBE-GGA) results for KZr2Si after structural relaxation.

a = 5.0496 Å, b = 5.0496 Å, c = 7.9742 Å
α = 99.97°, β = 99.97°, γ = 36.04°
Closest atoms and distances in Å follow each position.
Element x y z (fractional)
1 K 0.0000 0.0000 0.0000  2 K 3.12, 2 Si 3.45
2 Zr 0.1963 0.1963 0.6331  2 Si 2.79, 5 Zr 3.03-3.12
3 Zr 0.4471 0.4471 0.4412  3 Si 2.72-2.79, 2 Zr 3.03
4 Si 0.7051 0.7051 0.3450  5 Zr 2.72-2.79

Fermi-level density of states = 3.99 states/eV per cell
Uncorrected energy = -5.6082 eV/atom

***

No. 3
DFT (PBE-GGA) results for KZr2Si after structural relaxation.

a = 6.7776 Å, b = 6.7776 Å, c = 6.7776 Å
α = 154.93°, β = 129.08°, γ = 57.58°
Closest atoms and distances in Å follow each position.
Element x y z (fractional)
1 K 0.0000 0.0000 0.0000  2 K 2.94, 4 Si 3.26
2 Zr 0.3036 0.8036 0.5000  2 Si 2.76, 2 Zr 2.94
3 Zr 0.6964 0.1964 0.5000  2 Si 2.76, 2 Zr 2.94
4 Si 0.5000 0.5000 0.0000  4 Zr 2.76, 2 Si 2.94

Fermi-level density of states = 5.63 states/eV per cell
Uncorrected energy = -5.6245 eV/atom

***

No. 4
DFT (PBE-GGA) results for KZrSi after structural relaxation.

a = 3.1946 Å, b = 3.1946 Å, c = 8.5204 Å
α = 90.00°, β = 90.00°, γ = 120.00°
Closest atoms and distances in Å follow each position.
Element x y z (fractional)
1 K 0.0000 0.0000 0.0000  6 K 3.19, 3 Si 3.31
2 Zr 0.3333 0.6667 0.5811  3 Si 2.88, 6 Zr 3.19
3 Si 0.6667 0.3333 0.3220  3 Zr 2.88, 6 Si 3.19

Fermi-level density of states = 3.18 states/eV per cell
Energy relative to the lowest polymorph listed for this composition = 0.178 eV/atom

***

No. 5
DFT (PBE-GGA) results for KZrSi after structural relaxation.

a = 8.2827 Å, b = 8.2222 Å, c = 3.1218 Å
α = 80.19°, β = 78.01°, γ = 21.80°
Closest atoms and distances in Å follow each position.
Element x y z (fractional)
1 K 0.0000 0.0000 0.0000  4 K 3.12, 4 Si 3.29-3.44
2 Zr 0.2734 0.2734 0.7266  4 Si 2.77-2.94
3 Si 0.6595 0.6595 0.3405  4 Zr 2.77-2.94

Fermi-level density of states = 3.26 states/eV per cell
Energy relative to the lowest polymorph listed for this composition = 0.000 eV/atom

***

No. 6
DFT (PBE-GGA) results for KZrSi2 after structural relaxation.

a = 4.9581 Å, b = 4.9581 Å, c = 7.0994 Å
α = 109.14°, β = 109.14°, γ = 43.65°
Closest atoms and distances in Å follow each position.
Element x y z (fractional)
1 K 0.0000 0.0000 0.0000  4 Si 3.51, 2 K 3.69
2 Zr 0.5000 0.5000 0.5000  6 Si 2.76
3 Si 0.2377 0.2377 0.6034  2 Si 2.42
4 Si 0.7623 0.7623 0.3966  2 Si 2.42

Fermi-level density of states = 2.28 states/eV per cell
Energy relative to the lowest polymorph listed for this composition = 0.151 eV/atom

***

No. 7
DFT (PBE-GGA) results for KZrSi after structural relaxation.

a = 4.9855 Å, b = 4.9855 Å, c = 3.4629 Å
α = 90.00°, β = 90.00°, γ = 120.00°
Closest atoms and distances in Å follow each position.
Element x y z (fractional)
1 K 0.0000 0.0000 0.0000  6 Zr 3.36, 6 Si 3.36, 2 K 3.46
2 Zr 0.3333 0.6667 0.5000  3 Si 2.88
3 Si 0.6667 0.3333 0.5000  3 Zr 2.88

Fermi-level density of states = 2.05 states/eV per cell
Energy relative to the lowest polymorph listed for this composition = 0.350 eV/atom

***

No. 8
DFT (PBE-GGA) results for KZrSi2 after structural relaxation.

a = 4.9397 Å, b = 4.9397 Å, c = 4.9397 Å
α = 60.00°, β = 60.00°, γ = 60.00°
Closest atoms and distances in Å follow each position.
Element x y z (fractional)
1 K 0.0000 0.0000 0.0000  8 Si 3.02
2 Zr 0.5000 0.5000 0.5000  8 Si 3.02
3 Si 0.2500 0.2500 0.2500  4 Zr 3.02, 4 K 3.02
4 Si 0.7500 0.7500 0.7500  4 Zr 3.02, 4 K 3.02

Fermi-level density of states = 5.06 states/eV per cell
Energy relative to the lowest polymorph listed for this composition = 0.648 eV/atom

***

Please write out number 4 again, unchanged.
DFT (PBE-GGA) results for KZrSi after structural relaxation.

a = 3.1946 Å, b = 3.1946 Å, c = 8.5204 Å
α = 90.00°, β = 90.00°, γ = 120.00°
Closest atoms and distances in Å follow each position.
Element x y z (fractional)
1 K 0.0000 0.0000 0.0000  6 K 3.19, 3 Si 3.31
2 Zr 0.3333 0.6667 0.5811  3 Si 2.88, 6 Zr 3.19
3 Si 0.6667 0.3333 0.3220  3 Zr 2.88, 6 Si 3.19

Fermi-level density of states = 3.18 states/eV per cell
Energy relative to the lowest polymorph listed for this composition = 0.178 eV/atom

***

What did the seventh record say?
DFT (PBE-GGA) results for KZrSi after structural relaxation.

a = 4.9855 Å, b = 4.9855 Å, c = 3.4629 Å
α = 90.00°, β = 90.00°, γ = 120.00°
Closest atoms and distances in Å follow each position.
Element x y z (fractional)
1 K 0.0000 0.0000 0.0000  6 Zr 3.36, 6 Si 3.36, 2 K 3.46
2 Zr 0.3333 0.6667 0.5000  3 Si 2.88
3 Si 0.6667 0.3333 0.5000  3 Zr 2.88

Fermi-level density of states = 2.05 states/eV per cell
Energy relative to the lowest polymorph listed for this composition = 0.350 eV/atom

***

Number 4 is which compound?
KZrSi

***

The lowest Fermi-level density of states belongs to which entry?
number 7